Entry 1:
Entry from the Alexandria database: NbRe3Au after structural relaxation (PBE). Values from VASP.

Space-group type: Pm-3m
D(E_F) in states/eV/cell: 10.025
Volume in Å³/cell: 107
Magnetization in μB per cell: 0.0
Calculated formation energy in kJ/mol of formula units: 1347

Cell and atoms, written as Quantum ESPRESSO input:
```
&SYSTEM
  ibrav = 0, nat = 5, ntyp = 3
/
ATOMIC_SPECIES
Nb 92.91 Nb.upf
Re 186.21 Re.upf
Au 196.97 Au.upf
CELL_PARAMETERS angstrom
4.744 0.000 0.000
0.000 4.744 0.000
0.000 0.000 4.744
ATOMIC_POSITIONS angstrom
Nb 0.000 0.000 0.000
Re 0.000 2.372 2.372
Re 2.372 0.000 2.372
Re 2.372 2.372 0.000
Au 2.372 2.372 2.372
```

=====

Entry 2:
Entry from the Alexandria database: NbReAu3 after structural relaxation (PBE). Values from VASP.

Space-group type: Pm-3m
D(E_F) in states/eV/cell: 3.976
Volume in Å³/cell: 132
Magnetization in μB per cell: 4.6
Calculated formation energy in kJ/mol of formula units: 924

Cell and atoms, written as Quantum ESPRESSO input:
```
&SYSTEM
  ibrav = 0, nat = 5, ntyp = 3
/
ATOMIC_SPECIES
Nb 92.91 Nb.upf
Re 186.21 Re.upf
Au 196.97 Au.upf
CELL_PARAMETERS angstrom
5.088 0.000 0.000
0.000 5.088 0.000
0.000 0.000 5.088
ATOMIC_POSITIONS angstrom
Nb 0.000 0.000 0.000
Re 2.544 2.544 2.544
Au 0.000 0.000 2.544
Au 0.000 2.544 0.000
Au 2.544 0.000 0.000
```